# GdTh2Cd

An optimized crystal structure of GdTh2Cd (PBE-GGA, Alexandria via LeMat-Bulk).

a = 4.131 Å, b = 4.131 Å, c = 7.111 Å
α = 90.00°, β = 90.00°, γ = 90.00°
Fractional positions:
Gd 0.000 0.000 0.000
Th 0.500 0.500 0.264
Th 0.500 0.500 0.736
Cd 0.000 0.000 0.500

Properties
Raw total energy in eV per cell: -29.5
Size of the total moment in μB/atom: 1.933
E above lowest polymorph in eV per atom: 0.093
Density in g/cm3: 10.0
Formation energy from the elements in eV/atom: 0.0725